# 1
This record from Alexandria describes crystalline Ba2Ag2Rh at its relaxed geometry. The functional is PBE.

a = 4.4617 Å, b = 6.3893 Å, c = 11.5763 Å
α = 92.57°, β = 101.12°, γ = 110.39°
Last column: nearest neighbours and their distance in Å.
Positions (direct):
Ag 0.3678 0.8438 0.8917  1 Rh 2.76, 1 Ag 2.90
Ag 0.6322 0.1562 0.1083  1 Rh 2.76, 1 Ag 2.90
Ag 0.1511 0.8521 0.4497  3 Rh 2.83-2.87, 2 Ag 2.99
Ag 0.8489 0.1479 0.5503  3 Rh 2.83-2.87, 2 Ag 2.99
Rh 0.3757 0.0609 0.6907  4 Ag 2.76-2.87
Rh 0.6243 0.9391 0.3093  4 Ag 2.76-2.87
Ba 0.0657 0.2628 0.8693  2 Rh 3.15-3.16, 3 Ag 3.39-3.46
Ba 0.3438 0.3458 0.3416  3 Rh 3.29-3.62, 5 Ag 3.34-3.56
Ba 0.6562 0.6542 0.6584  3 Rh 3.29-3.62, 5 Ag 3.34-3.56
Ba 0.9343 0.7372 0.1307  2 Rh 3.15-3.16, 3 Ag 3.39-3.46

Summary:
Density of states at the Fermi level = 4.48 states/eV/cell
Calculated formation energy = -0.170 eV per atom
Symmetry = No. 12
E above lowest polymorph = 0.0 kJ/mol of atoms

# 2
This record from Alexandria describes crystalline Sr3Zn3Hg at its relaxed geometry. The functional is PBE.

a = 4.7819 Å, b = 6.3320 Å, c = 15.1854 Å
α = 86.23°, β = 80.94°, γ = 67.81°
Last column: nearest neighbours and their distance in Å.
Positions (direct):
Sr 0.7583 0.7100 0.7734  6 Zn 3.36-3.45, 2 Hg 3.46
Sr 0.6067 0.7118 0.0748  7 Zn 3.36-3.51
Sr 0.2417 0.2900 0.2266  6 Zn 3.36-3.45, 2 Hg 3.46
Sr 0.4381 0.7315 0.3923  7 Zn 3.37-3.56, 4 Hg 3.39-3.47
Sr 0.3933 0.2882 0.9252  7 Zn 3.36-3.51
Sr 0.5619 0.2685 0.6077  7 Zn 3.37-3.56, 4 Hg 3.39-3.47
Zn 0.0497 0.1262 0.7745  1 Zn 2.64, 1 Hg 2.84
Zn 0.9503 0.8738 0.2255  1 Zn 2.64, 1 Hg 2.84
Zn 0.8846 0.6811 0.5498  1 Zn 2.60, 2 Hg 2.80
Zn 0.0947 0.8867 0.9239  2 Zn 2.64-2.65
Zn 0.9053 0.1133 0.0761  2 Zn 2.64-2.65
Zn 0.1154 0.3189 0.4502  1 Zn 2.60, 2 Hg 2.80
Hg 0.2615 0.8601 0.6170  3 Zn 2.80-2.84
Hg 0.7385 0.1399 0.3830  3 Zn 2.80-2.84

Summary:
Density of states at the Fermi level = 11.24 states/eV/cell
Calculated formation energy = -0.274 eV per atom
Symmetry = No. 12

# 3
This record from Alexandria describes crystalline TbCo3Ge3 at its relaxed geometry. The functional is PBE.

a = 6.3607 Å, b = 6.3607 Å, c = 6.3607 Å
α = 90.00°, β = 90.00°, γ = 90.00°
Last column: nearest neighbours and their distance in Å.
Positions (direct):
Co 0.2500 0.0000 0.5000  4 Ge 2.25
Co 0.5000 0.7500 0.0000  4 Ge 2.25
Co 0.5000 0.2500 0.0000  4 Ge 2.25
Co 0.7500 0.0000 0.5000  4 Ge 2.25
Co 0.0000 0.5000 0.2500  4 Ge 2.25
Co 0.0000 0.5000 0.7500  4 Ge 2.25
Ge 0.7500 0.5000 0.0000  4 Co 2.25
Ge 0.2500 0.5000 0.0000  4 Co 2.25
Ge 0.5000 0.0000 0.7500  4 Co 2.25
Ge 0.5000 0.0000 0.2500  4 Co 2.25
Ge 0.0000 0.7500 0.5000  4 Co 2.25
Ge 0.0000 0.2500 0.5000  4 Co 2.25
Tb 0.5000 0.5000 0.5000  12 Ge 3.56, 12 Co 3.56
Tb 0.0000 0.0000 0.0000  12 Ge 3.56, 12 Co 3.56

Summary:
Density of states at the Fermi level = 16.36 states/eV/cell
Calculated formation energy = 0.015 eV per atom
Symmetry = No. 223
E above lowest polymorph = 33.3 kJ/mol of atoms

# 4
This record from Alexandria describes crystalline Ni2HgAs at its relaxed geometry. The functional is PBE.

a = 6.7882 Å, b = 6.7882 Å, c = 5.5728 Å
α = 52.48°, β = 52.48°, γ = 90.00°
Last column: nearest neighbours and their distance in Å.
Positions (direct):
Ni 0.3750 0.4225 0.7500  2 As 2.30
Ni 0.8750 0.8275 0.7500  2 As 2.30
Ni 0.1725 0.6250 0.2500  2 As 2.30
Ni 0.5775 0.1250 0.2500  2 As 2.30
Hg 0.7500 0.2500 0.5000  8 Ni 2.73-3.05, 2 As 2.83
Hg 0.0000 0.0000 0.0000  8 Ni 2.73-3.05, 2 As 2.83
As 0.5000 0.5000 0.0000  4 Ni 2.30
As 0.2500 0.7500 0.5000  4 Ni 2.30

Summary:
Density of states at the Fermi level = 5.69 states/eV/cell
Calculated formation energy = 0.210 eV per atom
Symmetry = No. 122

# 5
This record from Alexandria describes crystalline RbMgCo2Br8 at its relaxed geometry. The functional is PBE.

a = 6.7263 Å, b = 6.7263 Å, c = 10.6302 Å
α = 71.56°, β = 71.56°, γ = 60.00°
Last column: nearest neighbours and their distance in Å.
Positions (direct):
Rb 0.5000 0.5000 0.5000  12 Br 3.90-4.04
Br 0.2725 0.9451 0.1620  1 Co 2.38
Br 0.0549 0.3795 0.8380  1 Co 2.38
Br 0.8227 0.8227 0.5320  1 Co 2.33
Br 0.9451 0.6205 0.1620  1 Co 2.38
Br 0.3795 0.7275 0.8380  1 Co 2.38
Br 0.6205 0.2725 0.1620  1 Co 2.38
Br 0.1773 0.1773 0.4680  1 Co 2.33
Br 0.7275 0.0549 0.8380  1 Co 2.38
Co 0.7442 0.7442 0.7673  4 Br 2.33-2.38
Co 0.2558 0.2558 0.2327  4 Br 2.33-2.38
Mg 0.0000 0.0000 0.0000  6 Br 2.72

Summary:
Density of states at the Fermi level = 13.21 states/eV/cell
Formation energy without anion corrections = -0.802 eV per atom
Symmetry = No. 148

# 6
This record from Alexandria describes crystalline Nd3AlSi6Pd2 at its relaxed geometry. The functional is PBE.

a = 5.8295 Å, b = 5.8295 Å, c = 8.2425 Å
α = 90.00°, β = 90.00°, γ = 120.00°
Last column: nearest neighbours and their distance in Å.
Positions (direct):
Nd 0.3333 0.6667 0.6233  9 Si 3.03-3.14, 1 Pd 3.37
Nd 0.6667 0.3333 0.3767  9 Si 3.03-3.14, 1 Pd 3.37
Nd 0.0000 0.0000 0.0000  6 Si 3.04, 6 Pd 3.38
Si 0.8056 0.6113 0.7176  2 Si 2.43, 1 Pd 2.49, 1 Al 2.66
Si 0.8056 0.1944 0.7176  2 Si 2.43, 1 Pd 2.49, 1 Al 2.66
Si 0.3887 0.1944 0.7176  2 Si 2.43, 1 Pd 2.49, 1 Al 2.66
Si 0.1944 0.3887 0.2824  2 Si 2.43, 1 Pd 2.49, 1 Al 2.66
Si 0.6113 0.8056 0.2824  2 Si 2.43, 1 Pd 2.49, 1 Al 2.66
Si 0.1944 0.8056 0.2824  2 Si 2.43, 1 Pd 2.49, 1 Al 2.66
Pd 0.3333 0.6667 0.0324  3 Si 2.49
Pd 0.6667 0.3333 0.9676  3 Si 2.49
Al 0.0000 0.0000 0.5000  6 Si 2.66

Summary:
Density of states at the Fermi level = 4.40 states/eV/cell
Formation energy without anion corrections = -0.406 eV per atom
Symmetry = No. 164

| no. | calculated volume (Å³/f.u.) | VASP energy (Ry/atom) |
| --- | --- | --- |
| 1 | 150.6 | -0.2609 |
| 2 | 210.2 | -0.1164 |
| 3 | 128.7 | -0.4168 |
| 4 | 65.2 | -0.2880 |
| 5 | 387.7 | -0.2436 |
| 6 | 242.6 | -0.4033 |